## a
Crystalline Co2MoF at its relaxed geometry, computed with PBE with a Hubbard U.

a b c (Å): 7.373 7.373 5.680
angles (deg): 49.53 49.53 90.00
Sites, in units of the cell vectors:
Mo 0.000 0.000 0.000
Mo 0.750 0.250 0.500
Co 0.578 0.125 0.250
Co 0.172 0.625 0.250
Co 0.375 0.422 0.750
Co 0.875 0.828 0.750
F 0.500 0.500 0.000
F 0.250 0.750 0.500

=====

## b
Crystalline Co2MoF at its relaxed geometry, computed with PBE with a Hubbard U.

a b c (Å): 4.436 4.436 4.436
angles (deg): 60.00 60.00 60.00
Sites, in units of the cell vectors:
Mo 0.500 0.500 0.500
Co 0.250 0.250 0.250
Co 0.750 0.750 0.750
F 0.000 0.000 0.000

=====

Pick the least stable structure from those above. Pick: b